Computed, not measured: a relaxed structure of DyPuMnIr at the GGA-PBE level of DFT.

Calculated values
For the density of states at the Fermi level, the calculation gives 4.95 states/eV/f.u. Its total energy is -38.11 eV/cell. The value obtained for the energy relative to the elements is -285 meV per atom. Its crystal system is cubic. The calculation puts the volume at 20.01 A^3/atom.

Structure (POSCAR):
```
DyPuMnIr
1.0
-2.2392 2.9698 -3.0927
-2.7854 -1.8181 -3.5121
-4.8037 0.5301 0.2042
Ir Dy Mn Pu
1 1 1 1
Cartesian
-7.3712 1.2613 -4.8005 Ir
0.0000 0.0000 0.0000 Dy
-2.4571 0.4204 -1.6002 Mn
-4.9141 0.8409 -3.2003 Pu
```